Entry 1:
Here is a geometry-optimized Pm4Ge2Os structure from the Alexandria database. Energies are from GGA-PBE.

Lattice parameters (Å, degrees): 7.164 7.164 7.364 118.76 118.76 37.24
Fractional coordinates of all 7 atoms:
Pm 0.106 0.106 0.293
Pm 0.369 0.369 0.220
Pm 0.631 0.631 0.780
Pm 0.894 0.894 0.707
Ge 0.272 0.272 0.767
Ge 0.728 0.728 0.233
Os 0.500 0.500 0.000

Calculated values
Uncorrected energy: -42.36 eV/f.u.
Symmetry: No. 12

Entry 2:
Here is a geometry-optimized Pm4Ge5Os2 structure from the Alexandria database. Energies are from GGA-PBE.

Lattice parameters (Å, degrees): 7.148 4.290 8.310 90.00 90.88 90.00
Fractional coordinates of all 11 atoms:
Pm 0.230 0.000 0.138
Pm 0.247 0.000 0.612
Pm 0.753 0.000 0.388
Pm 0.770 0.000 0.862
Ge 0.113 0.500 0.878
Ge 0.422 0.500 0.353
Ge 0.500 0.500 0.000
Ge 0.578 0.500 0.647
Ge 0.887 0.500 0.122
Os 0.074 0.500 0.374
Os 0.926 0.500 0.626

Calculated values
Uncorrected energy: -70.04 eV/f.u.
Symmetry: No. 10

Entry 3:
Here is a geometry-optimized Pm3Ge4Os structure from the Alexandria database. Energies are from GGA-PBE.

Lattice parameters (Å, degrees): 8.259 8.259 8.259 148.53 138.43 53.06
Fractional coordinates of all 8 atoms:
Pm 0.000 0.000 0.000
Pm 0.308 0.808 0.500
Pm 0.692 0.192 0.500
Ge 0.093 0.377 0.715
Ge 0.338 0.623 0.715
Ge 0.662 0.377 0.285
Ge 0.907 0.623 0.285
Os 0.500 0.500 0.000

Calculated values
Uncorrected energy: -48.04 eV/f.u.
Symmetry: No. 71

Entry 4:
Here is a geometry-optimized PmGe2Os2 structure from the Alexandria database. Energies are from GGA-PBE.

Lattice parameters (Å, degrees): 5.893 5.893 5.893 137.44 137.44 61.76
Fractional coordinates of all 5 atoms:
Pm 0.000 0.000 0.000
Ge 0.371 0.371 0.000
Ge 0.629 0.629 0.000
Os 0.250 0.750 0.500
Os 0.750 0.250 0.500

Calculated values
Uncorrected energy: -38.40 eV/f.u.
Symmetry: No. 139

Entry 5:
Here is a geometry-optimized Pm4Ge3Os structure from the Alexandria database. Energies are from GGA-PBE.

Lattice parameters (Å, degrees): 4.077 4.362 10.982 90.00 90.00 90.00
Fractional coordinates of all 8 atoms:
Pm 0.000 0.000 0.000
Pm 0.000 0.500 0.485
Pm 0.500 0.000 0.710
Pm 0.500 0.500 0.217
Ge 0.000 0.500 0.770
Ge 0.500 0.000 0.425
Ge 0.500 0.500 0.927
Os 0.000 0.000 0.279

Calculated values
Uncorrected energy: -49.13 eV/f.u.
Symmetry: No. 25

Entry 6:
Here is a geometry-optimized PmGeOs structure from the Alexandria database. Energies are from GGA-PBE.

Lattice parameters (Å, degrees): 4.905 4.394 6.390 90.00 90.00 90.00
Fractional coordinates of all 6 atoms:
Pm 0.250 0.000 0.243
Pm 0.750 0.000 0.757
Ge 0.250 0.500 0.860
Ge 0.750 0.500 0.140
Os 0.000 0.500 0.500
Os 0.500 0.500 0.500

Calculated values
Uncorrected energy: -21.14 eV/f.u.
Symmetry: No. 51

Entry 7:
Here is a geometry-optimized PmGe3Os structure from the Alexandria database. Energies are from GGA-PBE.

Lattice parameters (Å, degrees): 8.949 8.949 5.264 96.49 96.49 86.46
Fractional coordinates of all 20 atoms:
Pm 0.052 0.242 0.000
Pm 0.242 0.052 0.500
Pm 0.758 0.948 0.500
Pm 0.948 0.758 0.000
Ge 0.100 0.752 0.532
Ge 0.180 0.534 0.850
Ge 0.248 0.900 0.968
Ge 0.284 0.415 0.370
Ge 0.415 0.284 0.870
Ge 0.466 0.820 0.650
Ge 0.534 0.180 0.350
Ge 0.585 0.716 0.130
Ge 0.716 0.585 0.630
Ge 0.752 0.100 0.032
Ge 0.820 0.466 0.150
Ge 0.900 0.248 0.468
Os 0.320 0.680 0.250
Os 0.451 0.549 0.750
Os 0.549 0.451 0.250
Os 0.680 0.320 0.750

Calculated values
Uncorrected energy: -30.73 eV/f.u.
Symmetry: No. 15

Entry 8:
Here is a geometry-optimized Pm2Ge5Os3 structure from the Alexandria database. Energies are from GGA-PBE.

Lattice parameters (Å, degrees): 8.533 8.533 8.533 108.19 85.93 139.35
Fractional coordinates of all 20 atoms:
Pm 0.138 0.231 0.369
Pm 0.362 0.731 0.093
Pm 0.638 0.269 0.907
Pm 0.862 0.769 0.631
Ge 0.040 0.750 0.290
Ge 0.089 0.672 0.761
Ge 0.250 0.250 0.000
Ge 0.411 0.172 0.583
Ge 0.460 0.750 0.710
Ge 0.540 0.250 0.290
Ge 0.589 0.828 0.417
Ge 0.750 0.750 0.000
Ge 0.911 0.328 0.239
Ge 0.960 0.250 0.710
Os 0.147 0.904 0.051
Os 0.250 0.750 0.500
Os 0.353 0.404 0.756
Os 0.647 0.596 0.244
Os 0.750 0.250 0.500
Os 0.853 0.096 0.949

Calculated values
Uncorrected energy: -70.86 eV/f.u.
Symmetry: No. 72

Entry 9:
Here is a geometry-optimized Pm12Ge6Os structure from the Alexandria database. Energies are from GGA-PBE.

Lattice parameters (Å, degrees): 8.532 8.532 8.532 99.49 99.49 99.49
Fractional coordinates of all 19 atoms:
Pm 0.040 0.681 0.934
Pm 0.066 0.960 0.319
Pm 0.186 0.426 0.566
Pm 0.319 0.066 0.960
Pm 0.426 0.566 0.186
Pm 0.434 0.814 0.574
Pm 0.566 0.187 0.426
Pm 0.574 0.434 0.814
Pm 0.681 0.934 0.040
Pm 0.814 0.574 0.434
Pm 0.934 0.040 0.681
Pm 0.960 0.319 0.066
Ge 0.128 0.624 0.304
Ge 0.304 0.128 0.624
Ge 0.376 0.696 0.872
Ge 0.624 0.304 0.128
Ge 0.696 0.872 0.376
Ge 0.872 0.376 0.696
Os 0.000 0.000 0.000

Calculated values
Uncorrected energy: -104.98 eV/f.u.
Symmetry: No. 148

Entry 10:
Here is a geometry-optimized Pm7Ge2Os2 structure from the Alexandria database. Energies are from GGA-PBE.

Lattice parameters (Å, degrees): 6.897 6.897 7.102 90.00 90.00 99.99
Fractional coordinates of all 11 atoms:
Pm 0.000 0.000 0.000
Pm 0.000 0.500 0.253
Pm 0.000 0.500 0.747
Pm 0.500 0.000 0.253
Pm 0.500 0.000 0.747
Pm 0.500 0.500 0.237
Pm 0.500 0.500 0.763
Ge 0.228 0.228 0.500
Ge 0.772 0.772 0.500
Os 0.277 0.723 0.000
Os 0.723 0.277 0.000

Calculated values
Uncorrected energy: -67.14 eV/f.u.
Symmetry: No. 65

Entry 11:
Here is a geometry-optimized PmGe2Os structure from the Alexandria database. Energies are from GGA-PBE.

Lattice parameters (Å, degrees): 4.698 4.698 4.698 60.00 60.00 60.00
Fractional coordinates of all 4 atoms:
Pm 0.000 0.000 0.000
Ge 0.250 0.250 0.250
Ge 0.750 0.750 0.750
Os 0.500 0.500 0.500

Calculated values
Uncorrected energy: -25.72 eV/f.u.
Symmetry: No. 225

Entry 12:
Here is a geometry-optimized Pm3Ge9Os2 structure from the Alexandria database. Energies are from GGA-PBE.

Lattice parameters (Å, degrees): 8.381 8.381 8.381 150.75 98.21 89.12
Fractional coordinates of all 14 atoms:
Pm 0.000 0.000 0.000
Pm 0.323 0.323 0.000
Pm 0.677 0.677 0.000
Ge 0.037 0.663 0.375
Ge 0.157 0.876 0.281
Ge 0.288 0.663 0.625
Ge 0.406 0.124 0.281
Ge 0.500 0.000 0.500
Ge 0.594 0.876 0.719
Ge 0.712 0.337 0.375
Ge 0.843 0.124 0.719
Ge 0.963 0.337 0.625
Os 0.277 0.500 0.777
Os 0.723 0.500 0.223

Calculated values
Uncorrected energy: -82.68 eV/f.u.
Symmetry: No. 71